The following is a PBE calculation of crystalline Nd6Er2Mg at its relaxed geometry, from Alexandria.

a b c (Å): 10.751 10.751 5.144
angles (deg): 90.00 90.00 90.00
Fractional positions:
Nd 0.003 0.332 0.000
Nd 0.160 0.840 0.500
Nd 0.168 0.503 0.500
Nd 0.332 0.003 0.000
Nd 0.340 0.340 0.000
Nd 0.497 0.832 0.500
Nd 0.503 0.168 0.500
Nd 0.660 0.660 0.000
Nd 0.668 0.997 0.000
Nd 0.832 0.497 0.500
Nd 0.840 0.160 0.500
Nd 0.997 0.668 0.000
Er 0.171 0.171 0.500
Er 0.329 0.671 0.000
Er 0.671 0.329 0.000
Er 0.829 0.829 0.500
Mg 0.000 0.000 0.000
Mg 0.500 0.500 0.500

## Properties
density of states at the Fermi level: 13.6 states/eV/f.u.
final energy: -4.3461 eV/atom
energy relative to the elements: 24 meV per atom
volume: 297.3 Å³/f.u.